1.
VASP calculation (PBE) on a relaxed HoSn2Hg crystal.

a = 5.2550 Å, b = 5.2550 Å, c = 13.2765 Å
α = 90.00°, β = 90.00°, γ = 120.00°
Space group R-3m (No. 166, hexagonal axes)
Symmetry-distinct sites (fractional):
Ho (0.0000, 0.0000, 0.0000)
Sn (0.0000, 0.0000, 0.2439)
Hg (0.0000, 0.0000, 0.5000)

ΔH_f (0 K) = -0.13 eV per atom
Energy above the lowest structure with this stoichiometry = 1.17 eV/f.u.

2.
VASP calculation (PBE) on a relaxed Hf3FeSb2 crystal.

a = 11.4974 Å, b = 3.9507 Å, c = 10.9207 Å
α = 90.00°, β = 90.00°, γ = 90.00°
Space group Pnma (No. 62)
Symmetry-distinct sites (fractional):
Hf (0.0612, 0.2500, 0.1131)
Hf (0.1158, 0.7500, 0.5305)
Hf (0.2382, 0.7500, 0.2635)
Fe (0.1125, 0.2500, 0.3572)
Sb (0.0174, 0.2500, 0.7057)
Sb (0.1908, 0.7500, 0.9740)

Raw formation energy = -389.4 meV per atom

3.
VASP calculation (PBE) on a relaxed Ba2PuAs3Pd4 crystal.

a = 4.4690 Å, b = 4.4690 Å, c = 11.4582 Å
α = 90.00°, β = 90.00°, γ = 90.00°
Space group P-4m2 (No. 115)
Symmetry-distinct sites (fractional):
Ba (0.0000, 0.5000, 0.2288)
Pu (0.0000, 0.0000, 0.5000)
As (0.0000, 0.5000, 0.8830)
As (0.5000, 0.5000, 0.5000)
Pd (0.0000, 0.0000, 0.0000)
Pd (0.0000, 0.5000, 0.6573)
Pd (0.5000, 0.5000, 0.0000)

ΔH_f (0 K) = -0.72 eV per atom

Computed values of uncorrected energy (unit: eV/atom) for the preceding records, in sequence: -3.348; -8.151; -6.012.